# 1
# PBE-GGA TlAu2S, relaxed
data_TlAu2S
_chemical_formula_sum 'Tl4 Au8 S4'
_symmetry_space_group_name_H-M 'I -4 2 d'
_symmetry_Int_Tables_number 122
_symmetry_space_group_name_Hall 'I -4 2bw'
_cell_length_a 5.270
_cell_length_b 5.270
_cell_length_c 15.581
_cell_angle_alpha 90.00
_cell_angle_beta 90.00
_cell_angle_gamma 90.00
loop_
_atom_site_label
_atom_site_type_symbol
_atom_site_fract_x
_atom_site_fract_y
_atom_site_fract_z
Tl1 Tl 0.000 0.000 0.000
Au1 Au 0.117 0.250 0.625
S1 S 0.000 0.000 0.500
# **Magnetization**: 0.0 μB per cell
# **ΔE_f (raw)**: 62 meV per atom
# **Crystal system**: tetragonal

***

# 2
# PBE-GGA TlAu2S2, relaxed
data_TlAu2S2
_chemical_formula_sum 'Tl2 Au4 S4'
_symmetry_space_group_name_H-M 'C 1 2/m 1'
_symmetry_Int_Tables_number 12
_cell_length_a 8.375
_cell_length_b 6.871
_cell_length_c 5.114
_cell_angle_alpha 90.00
_cell_angle_beta 109.97
_cell_angle_gamma 90.00
loop_
_symmetry_equiv_pos_as_xyz
'x,y,z'
'-x,-y,-z'
'-x,y,-z'
'x,-y,z'
'x+1/2,y+1/2,z'
'-x+1/2,-y+1/2,-z'
'-x+1/2,y+1/2,-z'
'x+1/2,-y+1/2,z'
loop_
_atom_site_label
_atom_site_type_symbol
_atom_site_fract_x
_atom_site_fract_y
_atom_site_fract_z
Tl1 Tl 0.000 0.000 0.000
Au1 Au 0.250 0.250 0.500
S1 S 0.201 0.500 0.180
# **Magnetization**: 0.0 μB per cell
# **ΔE_f (raw)**: -95 meV per atom
# **Crystal system**: monoclinic

***

# 3
# PBE-GGA Tl6AuS2, relaxed
data_Tl6AuS2
_chemical_formula_sum 'Tl12 Au2 S4'
_symmetry_space_group_name_H-M 'C 1 2/m 1'
_symmetry_Int_Tables_number 12
_cell_length_a 12.806
_cell_length_b 4.124
_cell_length_c 11.282
_cell_angle_alpha 90.00
_cell_angle_beta 107.30
_cell_angle_gamma 90.00
loop_
_symmetry_equiv_pos_as_xyz
'x,y,z'
'-x,-y,-z'
'-x,y,-z'
'x,-y,z'
'x+1/2,y+1/2,z'
'-x+1/2,-y+1/2,-z'
'-x+1/2,y+1/2,-z'
'x+1/2,-y+1/2,z'
loop_
_atom_site_label
_atom_site_type_symbol
_atom_site_fract_x
_atom_site_fract_y
_atom_site_fract_z
Tl1 Tl 0.010 0.000 0.265
Tl2 Tl 0.149 0.500 0.581
Tl3 Tl 0.173 0.500 0.068
Au1 Au 0.000 0.000 0.000
S1 S 0.178 0.500 0.327
# **Magnetization**: 0.0 μB per cell
# **ΔE_f (raw)**: -213 meV per atom
# **Crystal system**: monoclinic

***

# 4
# PBE-GGA TlAu5S4, relaxed
data_TlAu5S4
_chemical_formula_sum 'Tl1 Au5 S4'
_symmetry_space_group_name_H-M 'P -1'
_symmetry_Int_Tables_number 2
_cell_length_a 6.293
_cell_length_b 6.452
_cell_length_c 7.982
_cell_angle_alpha 106.57
_cell_angle_beta 104.86
_cell_angle_gamma 94.11
loop_
_symmetry_equiv_pos_as_xyz
'x,y,z'
'-x,-y,-z'
loop_
_atom_site_label
_atom_site_type_symbol
_atom_site_fract_x
_atom_site_fract_y
_atom_site_fract_z
Tl1 Tl 0.000 0.000 0.000
Au1 Au 0.000 0.500 0.500
Au2 Au 0.279 0.240 0.772
Au3 Au 0.280 0.778 0.426
S1 S 0.023 0.482 0.792
S2 S 0.473 0.000 0.285
# **Magnetization**: 0.0 μB per cell
# **ΔE_f (raw)**: -83 meV per atom
# **Crystal system**: triclinic

***

# 5
# PBE-GGA TlAuS6, relaxed
data_TlAuS6
_chemical_formula_sum 'Tl1 Au1 S6'
_symmetry_space_group_name_H-M 'P -1'
_symmetry_Int_Tables_number 2
_cell_length_a 5.037
_cell_length_b 7.251
_cell_length_c 7.260
_cell_angle_alpha 114.69
_cell_angle_beta 103.28
_cell_angle_gamma 103.48
loop_
_symmetry_equiv_pos_as_xyz
'x,y,z'
'-x,-y,-z'
loop_
_atom_site_label
_atom_site_type_symbol
_atom_site_fract_x
_atom_site_fract_y
_atom_site_fract_z
Tl1 Tl 0.000 0.000 0.000
Au1 Au 0.500 0.000 0.000
S1 S 0.190 0.382 0.794
S2 S 0.191 0.588 0.381
S3 S 0.397 0.207 0.589
# **Magnetization**: 0.0 μB per cell
# **ΔE_f (raw)**: 251 meV per atom
# **Crystal system**: triclinic

***

# 6
# PBE-GGA TlAuS3, relaxed
data_TlAuS3
_chemical_formula_sum 'Tl2 Au2 S6'
_symmetry_space_group_name_H-M 'P 1 21 1'
_symmetry_Int_Tables_number 4
_cell_length_a 5.186
_cell_length_b 6.946
_cell_length_c 7.779
_cell_angle_alpha 90.00
_cell_angle_beta 105.91
_cell_angle_gamma 90.00
loop_
_symmetry_equiv_pos_as_xyz
'x,y,z'
'-x,y+1/2,-z'
loop_
_atom_site_label
_atom_site_type_symbol
_atom_site_fract_x
_atom_site_fract_y
_atom_site_fract_z
Tl1 Tl 0.206 0.000 0.397
Au1 Au 0.463 0.283 0.019
S1 S 0.020 0.605 0.298
S2 S 0.298 0.406 0.303
S3 S 0.383 0.517 0.799
# **Magnetization**: 0.0 μB per cell
# **ΔE_f (raw)**: -12 meV per atom
# **Crystal system**: monoclinic

***

# 7
# PBE-GGA Tl3Au2S4, relaxed
data_Tl3Au2S4
_chemical_formula_sum 'Tl6 Au4 S8'
_symmetry_space_group_name_H-M 'C 1 2/m 1'
_symmetry_Int_Tables_number 12
_cell_length_a 15.141
_cell_length_b 4.262
_cell_length_c 9.189
_cell_angle_alpha 90.00
_cell_angle_beta 124.85
_cell_angle_gamma 90.00
loop_
_symmetry_equiv_pos_as_xyz
'x,y,z'
'-x,-y,-z'
'-x,y,-z'
'x,-y,z'
'x+1/2,y+1/2,z'
'-x+1/2,-y+1/2,-z'
'-x+1/2,y+1/2,-z'
'x+1/2,-y+1/2,z'
loop_
_atom_site_label
_atom_site_type_symbol
_atom_site_fract_x
_atom_site_fract_y
_atom_site_fract_z
Tl1 Tl 0.000 0.000 0.000
Tl2 Tl 0.119 0.500 0.483
Au1 Au 0.198 0.000 0.792
S1 S 0.029 0.000 0.738
S2 S 0.144 0.500 0.188
# **Magnetization**: 0.0 μB per cell
# **ΔE_f (raw)**: -117 meV per atom
# **Crystal system**: monoclinic

***

# 8
# PBE-GGA TlAu2S8, relaxed
data_TlAu2S8
_chemical_formula_sum 'Tl1 Au2 S8'
_symmetry_space_group_name_H-M 'P -1'
_symmetry_Int_Tables_number 2
_cell_length_a 4.632
_cell_length_b 6.425
_cell_length_c 10.729
_cell_angle_alpha 106.86
_cell_angle_beta 93.47
_cell_angle_gamma 100.20
loop_
_symmetry_equiv_pos_as_xyz
'x,y,z'
'-x,-y,-z'
loop_
_atom_site_label
_atom_site_type_symbol
_atom_site_fract_x
_atom_site_fract_y
_atom_site_fract_z
Tl1 Tl 0.000 0.000 0.000
Au1 Au 0.209 0.611 0.259
S1 S 0.036 0.092 0.704
S2 S 0.289 0.181 0.393
S3 S 0.337 0.577 0.028
S4 S 0.459 0.321 0.259
# **Magnetization**: 0.0 μB per cell
# **ΔE_f (raw)**: 58 meV per atom
# **Crystal system**: triclinic